# MnTlW2 | Alexandria via LeMat-Bulk | PBE | relaxed
# Size of the total moment = 1.92 μB/cell
# Density = 15.10 g cm⁻³
# Electronic total energy = -8.6905 eV per atom
# ΔE_f = 0.670 eV/atom
data_MnTlW2
_symmetry_space_group_name_H-M 'P 4/m m m'
_symmetry_Int_Tables_number 123
_symmetry_space_group_name_Hall '-P 4 2'
_cell_length_a 3.3174
_cell_length_b 3.3174
_cell_length_c 6.2672
_cell_angle_alpha 90.00
_cell_angle_beta 90.00
_cell_angle_gamma 90.00
loop_
_atom_site_label
_atom_site_type_symbol
_atom_site_fract_x
_atom_site_fract_y
_atom_site_fract_z
Mn1 Mn 0.0000 0.0000 0.0000
Tl1 Tl 0.0000 0.0000 0.5000
W1 W 0.5000 0.5000 0.1931